VASP calculation (PBE) on Co4CuNiS8 after structural relaxation.

```
Co4CuNiS8
1.0
0.000 4.705 4.705
4.705 0.000 4.705
4.705 4.705 0.000
Co Cu Ni S
4 1 1 8
direct
0.125 0.125 0.125
0.125 0.125 0.625
0.125 0.625 0.125
0.625 0.125 0.125
0.750 0.750 0.750
0.500 0.500 0.500
0.337 0.888 0.888
0.365 0.365 0.365
0.365 0.365 0.904
0.365 0.904 0.365
0.888 0.337 0.888
0.888 0.888 0.337
0.888 0.888 0.888
0.904 0.365 0.365
```

E_form (uncorrected)	-0.427	eV/atom
raw total energy	-5.522	eV/atom
density of states at the Fermi level	8.61	states/eV per cell
M_tot	0.00	μB per cell

VASP calculation (PBE) on Co3CuNi2S8 after structural relaxation.

```
Co3CuNi2S8
1.0
3.328 1.922 5.470
-3.328 1.922 5.470
0.000 -3.843 5.470
Co Cu Ni S
3 1 2 8
direct
0.000 0.500 0.500
0.500 0.000 0.500
0.500 0.500 0.000
0.126 0.126 0.126
0.501 0.501 0.501
0.875 0.875 0.875
0.260 0.260 0.713
0.260 0.713 0.260
0.263 0.263 0.263
0.278 0.743 0.743
0.713 0.260 0.260
0.740 0.740 0.740
0.743 0.278 0.743
0.743 0.743 0.278
```

E_form (uncorrected)	-0.411	eV/atom
raw total energy	-5.410	eV/atom
density of states at the Fermi level	8.70	states/eV per cell
M_tot	0.00	μB per cell

VASP calculation (PBE) on CoCuNiSb after structural relaxation.

```
CoCuNiSb
1.0
0.000 2.983 2.983
2.983 0.000 2.983
2.983 2.983 0.000
Co Cu Ni Sb
1 1 1 1
direct
0.000 0.000 0.000
0.250 0.250 0.250
0.500 0.500 0.500
0.750 0.750 0.750
```

E_form (uncorrected)	-0.005	eV/atom
raw total energy	-5.281	eV/atom
density of states at the Fermi level	3.39	states/eV per cell
M_tot	0.64	μB per cell

VASP calculation (PBE) on ScCoCuNi after structural relaxation.

```
ScCoCuNi
1.0
0.000 2.975 2.975
2.975 0.000 2.975
2.975 2.975 0.000
Sc Co Cu Ni
1 1 1 1
direct
0.000 0.000 0.000
0.250 0.250 0.250
0.500 0.500 0.500
0.750 0.750 0.750
```

ΔE_f	-3.26	kcal/mol of atoms
raw total energy	-5.970	eV/atom
density of states at the Fermi level	5.23	states/eV per cell
M_tot	0.19	μB per cell